Record 1
Compound: LaTbPmZn
Source: the Alexandria database
Functional: GGA-PBE
Structure: relaxed

abc: 5.481 5.481 5.481
angles: 60.00 60.00 60.00
Positions (direct):
Pm: 0.500 0.500 0.500
La: 0.750 0.750 0.750
Tb: 0.250 0.250 0.250
Zn: 0.000 0.000 0.000

Values from the calculation:
Formation energy in eV per atom: 0.063
Space-group type: F-43m
Electronic total energy in eV per atom: -3.833
Size of the total moment in μB/atom: 0.003

***

Record 2
Compound: CaMg2P
Source: the Alexandria database
Functional: GGA-PBE
Structure: relaxed

abc: 3.787 4.267 6.303
angles: 70.28 90.00 90.00
Positions (direct):
P: 0.000 0.281 0.564
Ca: 0.500 0.729 0.668
Mg: 0.500 0.435 0.255
Mg: 0.000 0.055 0.014

Values from the calculation:
Formation energy in eV per atom: -0.511
Space-group type: Pm
Electronic total energy in eV per atom: -3.161
Size of the total moment in μB/atom: 0.000

***

Record 3
Compound: HfGaNi3
Source: the Alexandria database
Functional: GGA-PBE
Structure: relaxed

abc: 4.289 4.289 4.289
angles: 90.00 90.00 90.00
Positions (direct):
Ni: 0.000 0.500 0.000
Ga: 0.000 0.000 0.000
Ni: 0.500 0.000 0.000
Ni: 0.000 0.000 0.500
Hf: 0.500 0.500 0.500

Values from the calculation:
Formation energy in eV per atom: 0.284
Space-group type: Pm-3m
Electronic total energy in eV per atom: -5.781
Size of the total moment in μB/atom: 0.000

***

Record 4
Compound: Sc2ICl
Source: the Alexandria database
Functional: GGA-PBE
Structure: relaxed

abc: 5.096 5.096 9.327
angles: 74.15 74.15 90.00
Each line ends with the local moment (μB).
Positions (direct):
I: 0.750 0.250 0.500  0.03
Sc: 0.180 0.625 0.250  0.92
I: 0.000 0.000 0.000  0.03
Cl: 0.500 0.500 0.000  0.00
Sc: 0.375 0.430 0.750  0.94
Sc: 0.875 0.820 0.750  0.95
Cl: 0.250 0.750 0.500  0.00
Sc: 0.570 0.125 0.250  0.92

Values from the calculation:
Space-group type: I-42d
Electronic total energy in eV per atom: -4.585
Formation energy from raw total energies in meV/atom: -570
Size of the total moment in μB/atom: 0.835

***

Record 5
Compound: ReRu3
Source: the Alexandria database
Functional: GGA-PBE
Structure: relaxed

abc: 3.841 3.841 3.841
angles: 90.00 90.00 90.00
Positions (direct):
Ru: 0.000 0.500 0.500
Ru: 0.500 0.500 0.000
Ru: 0.500 0.000 0.500
Re: 0.000 0.000 0.000

Values from the calculation:
Formation energy in eV per atom: 0.044
Space-group type: Pm-3m
Electronic total energy in eV per atom: -10.025
Size of the total moment in μB/atom: 0.000

***

Record 6
Compound: Pm2Sm2ErTm
Source: the Alexandria database
Functional: GGA-PBE
Structure: relaxed

abc: 5.665 7.039 9.804
angles: 90.00 90.00 90.00
Positions (direct):
Pm: 0.500 0.258 0.329
Pm: 0.000 0.258 0.839
Er: 0.500 0.758 0.342
Er: 0.500 0.258 0.658
Tm: 0.000 0.508 0.500
Tm: 0.000 0.008 0.500
Sm: 0.000 0.758 0.822
Sm: 0.500 0.508 0.000
Sm: 0.500 0.008 0.000
Sm: 0.000 0.258 0.178
Pm: 0.000 0.758 0.161
Pm: 0.500 0.758 0.671

Values from the calculation:
Formation energy in eV per atom: 0.062
Space-group type: Pmma
Electronic total energy in eV per atom: -4.600
Size of the total moment in μB/atom: 0.000

***

Record 7
Compound: TaTlSe2Br
Source: the Alexandria database
Functional: GGA-PBE
Structure: relaxed

abc: 5.092 5.092 5.276
angles: 90.00 90.00 90.00
Positions (direct):
Br: 0.000 0.000 0.500
Tl: 0.500 0.500 0.500
Se: 0.000 0.500 0.000
Ta: 0.000 0.000 0.000
Se: 0.500 0.000 0.000

Values from the calculation:
Space-group type: P4/mmm
Electronic total energy in eV per atom: -5.017
Formation energy from raw total energies in meV/atom: -445
Size of the total moment in μB/atom: 0.000

***

Record 8
Compound: ZnBrF3
Source: the Alexandria database
Functional: GGA-PBE
Structure: relaxed

abc: 4.143 4.143 4.143
angles: 90.00 90.00 90.00
Each line ends with the local moment (μB).
Positions (direct):
Br: 0.500 0.500 0.500  1.11
F: 0.000 0.000 0.500  0.24
Zn: 0.000 0.000 0.000  0.00
F: 0.500 0.000 0.000  0.20
F: 0.000 0.500 0.000  0.12

Values from the calculation:
Space-group type: Pm-3m
Electronic total energy in eV per atom: -2.935
Formation energy from raw total energies in meV/atom: -1223
Size of the total moment in μB/atom: 0.400

***

Record 9
Compound: AcPr5Y2Tm
Source: the Alexandria database
Functional: GGA-PBE
Structure: relaxed

abc: 5.883 9.315 12.317
angles: 90.00 90.00 108.41
Positions (direct):
Ac: 0.383 0.766 0.423
Tm: 0.253 0.506 0.924
Tm: 0.747 0.494 0.424
Y: 0.063 0.126 0.777
Pr: 0.579 0.157 0.587
Pr: 0.233 0.466 0.630
Pr: 0.767 0.534 0.130
Ac: 0.617 0.234 0.923
Pr: 0.233 0.466 0.219
Pr: 0.767 0.534 0.719
Pr: 0.423 0.847 0.768
Y: 0.937 0.874 0.277
Y: 0.114 0.228 0.425
Pr: 0.062 0.125 0.071
Pr: 0.577 0.153 0.268
Pr: 0.938 0.875 0.571
Pr: 0.421 0.843 0.087
Y: 0.886 0.772 0.925

Values from the calculation:
Formation energy in eV per atom: 0.077
Space-group type: Cmc2_1
Electronic total energy in eV per atom: -4.968
Size of the total moment in μB/atom: 0.000

***

Record 10
Compound: Nd2As4PdRh3
Source: the Alexandria database
Functional: GGA-PBE
Structure: relaxed

abc: 4.353 4.353 9.914
angles: 90.00 90.00 90.00
Positions (direct):
As: 0.500 0.000 0.637
Rh: 0.000 0.000 0.500
As: 0.000 0.500 0.363
Rh: 0.000 0.500 0.118
Nd: 0.500 0.000 0.247
Pd: 0.500 0.500 0.500
As: 0.500 0.500 0.000
As: 0.000 0.000 0.000
Rh: 0.500 0.000 0.882
Nd: 0.000 0.500 0.753

Values from the calculation:
Formation energy in eV per atom: -0.915
Space-group type: P-4m2
Electronic total energy in eV per atom: -6.453
Size of the total moment in μB/atom: 0.000

***

Record 11
Compound: Ho2MnP
Source: the Alexandria database
Functional: GGA-PBE
Structure: relaxed

abc: 3.710 3.710 9.458
angles: 78.69 78.69 60.00
Each line ends with the local moment (μB).
Positions (direct):
Ho: 0.108 0.108 0.676  -0.23
Mn: 0.000 0.000 0.000  4.04
P: 0.500 0.500 0.500  0.01
Ho: 0.892 0.892 0.324  -0.23

Values from the calculation:
Formation energy in eV per atom: -0.115
Space-group type: R-3m
Electronic total energy in eV per atom: -6.049
Size of the total moment in μB/atom: 0.894

***

Record 12
Compound: MgTaCu
Source: the Alexandria database
Functional: GGA-PBE
Structure: relaxed

abc: 4.570 4.570 5.447
angles: 90.00 90.00 120.00
Positions (direct):
Ta: 0.667 0.333 0.250
Cu: 0.000 0.000 0.000
Cu: 0.000 0.000 0.500
Ta: 0.333 0.667 0.750
Mg: 0.667 0.333 0.750
Mg: 0.333 0.667 0.250

Values from the calculation:
Formation energy in eV per atom: 0.793
Space-group type: P6_3/mmc
Electronic total energy in eV per atom: -5.055
Size of the total moment in μB/atom: 0.000